Entry 1:
# Pa2Cu3Ni12Ge PBE relaxed
data_Pa2Cu3Ni12Ge
_chemical_formula_sum 'Pa6 Cu9 Ni36 Ge3'
_cell_length_a 6.2541
_cell_length_b 6.2541
_cell_length_c 23.1074
_cell_angle_alpha 90.00
_cell_angle_beta 90.00
_cell_angle_gamma 120.00
_space_group_name_H-M_alt 'R -3 m'
_space_group_IT_number 166
_space_group_name_Hall '-R 3 2"'
loop_
_atom_site_label
_atom_site_type_symbol
_atom_site_fract_x
_atom_site_fract_y
_atom_site_fract_z
_atom_site_occupancy
Pa1 Pa 0.0000 0.0000 0.1378 1
Cu1 Cu 0.0000 0.5000 0.0000 1
Ni1 Ni 0.0353 0.5176 0.8896 1
Ni2 Ni 0.0779 0.5389 0.6191 1
Ge1 Ge 0.0000 0.0000 0.5000 1
# Total moment   0.000 μB/f.u.
# E_form   107 kJ/mol of formula units

Entry 2:
# PaCuNiGe2 PBE relaxed
data_PaCuNiGe2
_chemical_formula_sum 'Pa2 Cu2 Ni2 Ge4'
_cell_length_a 4.093
_cell_length_b 4.093
_cell_length_c 9.873
_cell_angle_alpha 90.00
_cell_angle_beta 90.00
_cell_angle_gamma 90.00
_space_group_name_H-M_alt 'I -4 m 2'
_space_group_IT_number 119
_space_group_name_Hall 'I -4 -2'
loop_
_atom_site_label
_atom_site_type_symbol
_atom_site_fract_x
_atom_site_fract_y
_atom_site_fract_z
_atom_site_occupancy
Pa1 Pa 0.000 0.000 0.000 1
Cu1 Cu 0.000 0.500 0.750 1
Ni1 Ni 0.000 0.500 0.250 1
Ge1 Ge 0.000 0.000 0.376 1
# Total moment   0.000 μB/f.u.
# E_form   -218 kJ/mol of formula units

Entry 3:
# PaCuNiGe PBE relaxed
data_PaCuNiGe
_chemical_formula_sum 'Pa4 Cu4 Ni4 Ge4'
_cell_length_a 6.419
_cell_length_b 6.419
_cell_length_c 6.419
_cell_angle_alpha 90.00
_cell_angle_beta 90.00
_cell_angle_gamma 90.00
_space_group_name_H-M_alt 'F -4 3 m'
_space_group_IT_number 216
_space_group_name_Hall 'F -4 2 3'
loop_
_atom_site_label
_atom_site_type_symbol
_atom_site_fract_x
_atom_site_fract_y
_atom_site_fract_z
_atom_site_occupancy
Pa1 Pa 0.000 0.000 0.000 1
Cu1 Cu 0.250 0.250 0.250 1
Ni1 Ni 0.250 0.250 0.750 1
Ge1 Ge 0.000 0.000 0.500 1
# Total moment   0.000 μB/f.u.
# E_form   -109 kJ/mol of formula units

Entry 4:
# CuNi2GePb PBE relaxed
data_CuNi2GePb
_chemical_formula_sum 'Cu1 Ni2 Ge1 Pb1'
_cell_length_a 4.512
_cell_length_b 4.512
_cell_length_c 4.816
_cell_angle_alpha 90.00
_cell_angle_beta 90.00
_cell_angle_gamma 90.00
_space_group_name_H-M_alt 'P 4/m m m'
_space_group_IT_number 123
_space_group_name_Hall '-P 4 2'
loop_
_atom_site_label
_atom_site_type_symbol
_atom_site_fract_x
_atom_site_fract_y
_atom_site_fract_z
_atom_site_occupancy
Cu1 Cu 0.000 0.000 0.000 1
Ni1 Ni 0.000 0.500 0.000 1
Ge1 Ge 0.500 0.500 0.500 1
Pb1 Pb 0.000 0.000 0.500 1
# Total moment   0.000 μB/f.u.
# E_form   415 kJ/mol of formula units

Entry 5:
# CuNiGePd PBE relaxed
data_CuNiGePd
_chemical_formula_sum 'Cu4 Ni4 Ge4 Pd4'
_cell_length_a 5.953
_cell_length_b 5.953
_cell_length_c 5.953
_cell_angle_alpha 90.00
_cell_angle_beta 90.00
_cell_angle_gamma 90.00
_space_group_name_H-M_alt 'F -4 3 m'
_space_group_IT_number 216
_space_group_name_Hall 'F -4 2 3'
loop_
_atom_site_label
_atom_site_type_symbol
_atom_site_fract_x
_atom_site_fract_y
_atom_site_fract_z
_atom_site_occupancy
Cu1 Cu 0.000 0.000 0.000 1
Ni1 Ni 0.250 0.250 0.250 1
Ge1 Ge 0.000 0.000 0.500 1
Pd1 Pd 0.250 0.250 0.750 1
# Total moment   0.000 μB/f.u.
# E_form   -78 kJ/mol of formula units

Entry 6:
# Pm2Cu3NiGe4 PBE relaxed
data_Pm2Cu3NiGe4
_chemical_formula_sum 'Pm2 Cu3 Ni1 Ge4'
_cell_length_a 4.158
_cell_length_b 4.158
_cell_length_c 10.100
_cell_angle_alpha 90.00
_cell_angle_beta 90.00
_cell_angle_gamma 90.00
_space_group_name_H-M_alt 'P -4 m 2'
_space_group_IT_number 115
_space_group_name_Hall 'P -4 -2'
loop_
_atom_site_label
_atom_site_type_symbol
_atom_site_fract_x
_atom_site_fract_y
_atom_site_fract_z
_atom_site_occupancy
Pm1 Pm 0.000 0.500 0.243 1
Cu1 Cu 0.000 0.000 0.000 1
Cu2 Cu 0.000 0.500 0.635 1
Ni1 Ni 0.500 0.500 0.000 1
Ge1 Ge 0.000 0.000 0.500 1
Ge2 Ge 0.000 0.500 0.874 1
Ge3 Ge 0.500 0.500 0.500 1
# Total moment   0.000 μB/f.u.
# E_form   -520 kJ/mol of formula units

Entry 7:
# PmCuNiGe2 PBE relaxed
data_PmCuNiGe2
_chemical_formula_sum 'Pm2 Cu2 Ni2 Ge4'
_cell_length_a 4.132
_cell_length_b 4.132
_cell_length_c 10.074
_cell_angle_alpha 90.00
_cell_angle_beta 90.00
_cell_angle_gamma 90.00
_space_group_name_H-M_alt 'I -4 m 2'
_space_group_IT_number 119
_space_group_name_Hall 'I -4 -2'
loop_
_atom_site_label
_atom_site_type_symbol
_atom_site_fract_x
_atom_site_fract_y
_atom_site_fract_z
_atom_site_occupancy
Pm1 Pm 0.000 0.000 0.000 1
Cu1 Cu 0.000 0.500 0.750 1
Ni1 Ni 0.000 0.500 0.250 1
Ge1 Ge 0.000 0.000 0.374 1
# Total moment   0.000 μB/f.u.
# E_form   -294 kJ/mol of formula units

Entry 8:
# Pm2CuNi3Ge4 PBE relaxed
data_Pm2CuNi3Ge4
_chemical_formula_sum 'Pm2 Cu1 Ni3 Ge4'
_cell_length_a 4.162
_cell_length_b 4.162
_cell_length_c 9.747
_cell_angle_alpha 90.00
_cell_angle_beta 90.00
_cell_angle_gamma 90.00
_space_group_name_H-M_alt 'P -4 m 2'
_space_group_IT_number 115
_space_group_name_Hall 'P -4 -2'
loop_
_atom_site_label
_atom_site_type_symbol
_atom_site_fract_x
_atom_site_fract_y
_atom_site_fract_z
_atom_site_occupancy
Pm1 Pm 0.000 0.500 0.250 1
Cu1 Cu 0.000 0.000 0.500 1
Ni1 Ni 0.000 0.500 0.878 1
Ni2 Ni 0.500 0.500 0.500 1
Ge1 Ge 0.000 0.000 0.000 1
Ge2 Ge 0.000 0.500 0.634 1
Ge3 Ge 0.500 0.500 0.000 1
# Total moment   0.000 μB/f.u.
# E_form   -639 kJ/mol of formula units

Entry 9:
# Pr2Cu12Ni3Ge PBE relaxed
data_Pr2Cu12Ni3Ge
_chemical_formula_sum 'Pr6 Cu36 Ni9 Ge3'
_cell_length_a 8.0542
_cell_length_b 8.0542
_cell_length_c 17.6885
_cell_angle_alpha 90.00
_cell_angle_beta 90.00
_cell_angle_gamma 120.00
_space_group_name_H-M_alt 'R -3 m'
_space_group_IT_number 166
_space_group_name_Hall '-R 3 2"'
loop_
_atom_site_label
_atom_site_type_symbol
_atom_site_fract_x
_atom_site_fract_y
_atom_site_fract_z
_atom_site_occupancy
Pr1 Pr 0.0000 0.0000 0.1088 1
Cu1 Cu 0.0144 0.5072 0.1332 1
Cu2 Cu 0.1099 0.2198 0.7351 1
Ni1 Ni 0.0000 0.5000 0.0000 1
Ge1 Ge 0.0000 0.0000 0.5000 1
# Total moment   0.000 μB/f.u.
# E_form   688 kJ/mol of formula units

Entry 10:
# PrCu2Ni2Ge PBE relaxed
data_PrCu2Ni2Ge
_chemical_formula_sum 'Pr1 Cu2 Ni2 Ge1'
_cell_length_a 4.357
_cell_length_b 4.357
_cell_length_c 5.660
_cell_angle_alpha 90.00
_cell_angle_beta 90.00
_cell_angle_gamma 90.00
_space_group_name_H-M_alt 'P 4/m m m'
_space_group_IT_number 123
_space_group_name_Hall '-P 4 2'
loop_
_atom_site_label
_atom_site_type_symbol
_atom_site_fract_x
_atom_site_fract_y
_atom_site_fract_z
_atom_site_occupancy
Pr1 Pr 0.000 0.000 0.000 1
Cu1 Cu 0.500 0.500 0.246 1
Ni1 Ni 0.000 0.500 0.500 1
Ge1 Ge 0.000 0.000 0.500 1
# Total moment   0.000 μB/f.u.
# E_form   10 kJ/mol of formula units

Entry 11:
# CuNiGeRh PBE relaxed
data_CuNiGeRh
_chemical_formula_sum 'Cu4 Ni4 Ge4 Rh4'
_cell_length_a 5.894
_cell_length_b 5.894
_cell_length_c 5.894
_cell_angle_alpha 90.00
_cell_angle_beta 90.00
_cell_angle_gamma 90.00
_space_group_name_H-M_alt 'F -4 3 m'
_space_group_IT_number 216
_space_group_name_Hall 'F -4 2 3'
loop_
_atom_site_label
_atom_site_type_symbol
_atom_site_fract_x
_atom_site_fract_y
_atom_site_fract_z
_atom_site_occupancy
Cu1 Cu 0.000 0.000 0.000 1
Ni1 Ni 0.250 0.250 0.250 1
Ge1 Ge 0.000 0.000 0.500 1
Rh1 Rh 0.250 0.250 0.750 1
# Total moment   0.001 μB/f.u.
# E_form   -94 kJ/mol of formula units

Entry 12:
# CuNiGeRu PBE relaxed
data_CuNiGeRu
_chemical_formula_sum 'Cu4 Ni4 Ge4 Ru4'
_cell_length_a 5.878
_cell_length_b 5.878
_cell_length_c 5.878
_cell_angle_alpha 90.00
_cell_angle_beta 90.00
_cell_angle_gamma 90.00
_space_group_name_H-M_alt 'F -4 3 m'
_space_group_IT_number 216
_space_group_name_Hall 'F -4 2 3'
loop_
_atom_site_label
_atom_site_type_symbol
_atom_site_fract_x
_atom_site_fract_y
_atom_site_fract_z
_atom_site_occupancy
Cu1 Cu 0.000 0.000 0.000 1
Ni1 Ni 0.250 0.250 0.250 1
Ge1 Ge 0.000 0.000 0.500 1
Ru1 Ru 0.250 0.250 0.750 1
# Total moment   0.000 μB/f.u.
# E_form   -46 kJ/mol of formula units